[1]
Density functional theory data (GGA+U) for a relaxed structure of Ca2ReNiO6.

```
10
Lattice="5.554 0.000 0.000 0.000 5.554 0.000 0.000 0.000 3.958" Properties=species:S:1:pos:R:3 pbc="T T T"
Ca 0.000 2.777 0.000
Ca 2.777 0.000 0.000
Re 0.000 0.000 2.161
Ni 2.777 2.777 2.157
O 0.000 0.000 0.210
O 1.337 1.337 2.225
O 1.337 4.218 2.225
O 2.777 2.777 0.188
O 4.218 1.337 2.225
O 4.218 4.218 2.225
```

Properties
The calculation puts the density of states at the Fermi level at 1.33 states/eV/cell. The calculated total energy comes out at -68.11 eV for the cell shown. As for the density: 5725 kg/m3.

=====

[2]
Density functional theory data (GGA+U) for a relaxed structure of CaNiRuO6.

```
9
Lattice="2.507 -4.521 0.000 2.507 4.521 0.000 -0.171 0.000 4.998" Properties=species:S:1:pos:R:3 pbc="T T T"
Ca 0.000 0.000 0.000
Ni 2.422 -1.441 2.499
Ru 2.422 1.510 2.499
O 0.950 1.782 1.401
O 1.720 0.133 3.550
O 0.874 -1.598 1.466
O 3.894 1.782 3.597
O 3.123 0.133 1.448
O 3.969 -1.598 3.532
```

Properties
The calculation puts the density of states at the Fermi level at 2.64 states/eV/cell. The calculated total energy comes out at -54.37 eV for the cell shown. As for the density: 4336 kg/m3.

=====

[3]
Density functional theory data (GGA+U) for a relaxed structure of CaNi2SO.

```
5
Lattice="5.363 0.000 0.000 0.000 5.363 0.000 0.000 0.000 4.968" Properties=species:S:1:pos:R:3 pbc="T T T"
Ca 0.000 0.000 0.000
Ni 0.000 2.682 0.000
Ni 2.682 0.000 0.000
S 0.000 0.000 2.484
O 2.682 2.682 2.484
```

Properties
The calculation puts the density of states at the Fermi level at 4.78 states/eV/cell. The calculated total energy comes out at -9.62 eV for the cell shown. As for the density: 2388 kg/m3.

=====

[4]
Density functional theory data (GGA+U) for a relaxed structure of Ca2NiSbO6.

```
20
Lattice="5.458 0.000 0.000 0.000 5.606 0.000 -5.418 0.000 7.740" Properties=species:S:1:pos:R:3 pbc="T T T"
Ca -0.062 0.292 1.927
Ca -2.771 2.511 5.797
Ca 2.811 3.095 1.943
Ca 0.102 5.314 5.813
Ni -2.709 0.000 3.870
Ni 0.000 2.803 0.000
Sb 2.729 0.000 0.000
Sb 0.020 2.803 3.870
O -4.306 1.127 7.370
O -1.597 1.676 3.500
O -3.788 3.954 7.362
O -1.079 4.455 3.492
O -2.190 0.166 5.796
O 0.519 2.637 1.926
O -0.478 2.969 5.814
O 2.231 5.440 1.944
O 1.120 1.151 4.248
O 3.829 1.652 0.378
O 1.637 3.930 4.240
O 4.346 4.479 0.370
```

Properties
The calculated total energy comes out at -119.07 eV for the cell shown. As for the energy above the most stable polymorph in this dataset: 0.016 eV/atom. As for the density: 5000 kg/m3.

=====

[5]
Density functional theory data (GGA+U) for a relaxed structure of Ca2NiSbO6.

```
20
Lattice="5.481 0.000 0.000 0.000 7.731 0.000 -0.061 0.000 5.658" Properties=species:S:1:pos:R:3 pbc="T T T"
Ca 0.083 1.933 0.259
Ca 2.614 1.933 3.221
Ca 2.806 5.798 2.437
Ca 5.337 5.798 5.399
Ni 2.741 0.000 0.000
Ni 2.741 3.866 0.000
Sb -0.030 0.000 2.829
Sb -0.030 3.866 2.829
O 0.538 5.798 3.027
O 1.021 0.393 4.480
O 1.021 3.473 4.480
O 1.581 0.369 1.718
O 1.581 3.496 1.718
O 2.231 5.798 0.171
O 3.189 1.933 5.487
O 3.839 4.235 3.940
O 3.839 7.362 3.940
O 4.399 4.258 1.178
O 4.399 7.339 1.178
O 4.882 1.933 2.631
```

Properties
The calculation puts the density of states at the Fermi level at 6.44 states/eV/cell. The calculated total energy comes out at -119.39 eV for the cell shown. As for the energy above the most stable polymorph in this dataset: 0.000 eV/atom. As for the density: 4940 kg/m3.

=====

[6]
Density functional theory data (GGA+U) for a relaxed structure of CaNi3Se4O12.

```
20
Lattice="5.285 3.051 2.628 -5.285 3.051 2.628 0.000 -6.103 2.628" Properties=species:S:1:pos:R:3 pbc="T T T"
Ca 0.000 0.000 0.000
Ni -3.051 -0.819 2.628
Ni 2.234 -2.233 2.628
Ni 0.816 3.051 2.628
Se -2.102 -3.640 3.942
Se 0.000 0.000 3.942
Se -2.102 3.640 3.942
Se 4.203 0.000 3.942
O -1.289 -1.263 1.613
O -4.645 0.000 3.942
O -0.449 1.747 1.613
O -1.833 0.000 3.942
O 1.738 -0.485 1.613
O 2.323 -4.023 3.942
O 0.917 -1.588 3.942
O -0.449 -1.747 6.270
O 0.917 1.588 3.942
O -1.289 1.263 6.270
O 2.323 4.023 3.942
O 1.738 0.485 6.270
```

Properties
The calculation puts the density of states at the Fermi level at 4.74 states/eV/cell. The calculated total energy comes out at -98.72 eV for the cell shown. As for the density: 4728 kg/m3.

=====

[7]
Density functional theory data (GGA+U) for a relaxed structure of CaSiNiO4.

```
14
Lattice="2.994 -4.498 0.000 2.994 4.498 0.000 0.000 0.000 6.429" Properties=species:S:1:pos:R:3 pbc="T T T"
Ca 0.000 0.000 0.000
Ca 0.000 0.000 3.214
Si 2.994 1.231 4.822
Si 2.994 -1.231 1.607
Ni 2.994 1.436 1.607
Ni 2.994 -1.436 4.822
O 2.994 2.149 3.463
O 2.994 2.149 6.180
O 1.701 0.168 4.822
O 1.701 -0.168 1.607
O 4.286 0.168 4.822
O 4.286 -0.168 1.607
O 2.994 -2.149 0.248
O 2.994 -2.149 2.966
```

Properties
The calculation puts the density of states at the Fermi level at 0.00 states/eV/cell. The calculated total energy comes out at -92.91 eV for the cell shown. As for the density: 3661 kg/m3.

=====

[8]
Density functional theory data (GGA+U) for a relaxed structure of CaSi4Ni2O12.

```
19
Lattice="4.834 -4.349 0.000 4.834 4.349 0.000 -1.505 0.000 5.106" Properties=species:S:1:pos:R:3 pbc="T T T"
Ca 0.000 0.000 0.000
Si 1.243 0.936 2.682
Si 1.326 -1.829 5.023
Si 6.920 0.936 2.423
Si 6.837 -1.829 0.083
Ni 4.082 2.471 2.553
Ni 4.834 0.831 0.000
O 3.583 2.452 0.523
O 0.660 -0.519 2.224
O 2.815 1.029 3.155
O 4.580 2.452 4.583
O 3.343 -0.332 0.214
O 5.348 1.029 1.951
O 2.234 -2.573 3.856
O 3.073 -2.786 1.254
O 4.820 -0.332 4.891
O 7.503 -0.519 2.881
O 5.929 -2.573 1.250
O 5.091 -2.786 3.851
```

Properties
The calculation puts the density of states at the Fermi level at 3.23 states/eV/cell. The calculated total energy comes out at -130.28 eV for the cell shown. As for the density: 3572 kg/m3.

=====

[9]
Density functional theory data (GGA+U) for a relaxed structure of Sr2CaNiO4.

```
8
Lattice="6.349 0.000 0.000 0.000 3.311 0.000 -2.878 0.000 5.795" Properties=species:S:1:pos:R:3 pbc="T T T"
Sr 0.000 0.000 0.000
Sr -1.439 1.655 2.897
Ca 1.736 0.000 2.897
Ni 3.175 1.655 0.000
O 0.668 1.655 1.683
O -0.408 0.000 4.621
O 3.879 0.000 1.173
O 2.803 1.655 4.111
```

Properties
The calculation puts the density of states at the Fermi level at 0.00 states/eV/cell. The calculated total energy comes out at -45.25 eV for the cell shown. As for the density: 4608 kg/m3.

=====

[10]
Density functional theory data (GGA+U) for a relaxed structure of Sr3CaNi2W2O12.

```
20
Lattice="5.615 0.000 0.000 -0.011 5.638 0.000 -0.001 -0.011 7.959" Properties=species:S:1:pos:R:3 pbc="T T T"
Sr 0.000 0.000 0.000
Sr 0.057 0.292 3.993
Sr 2.857 2.843 0.007
Ca 2.803 3.185 3.968
Ni 0.028 2.962 5.961
Ni 2.841 0.163 2.008
W 0.020 2.971 2.021
W 2.851 0.149 5.955
O 0.355 2.975 0.092
O 1.220 4.497 2.248
O 1.311 4.587 5.758
O 1.579 1.822 2.346
O 1.716 1.715 5.625
O 2.506 0.252 7.881
O 3.159 5.612 4.045
O 4.018 4.252 6.243
O 4.125 4.173 1.739
O 4.390 1.321 6.174
O 4.481 1.421 1.775
O 5.202 2.954 3.924
```

Properties
The calculation puts the density of states at the Fermi level at 0.00 states/eV/cell. The calculated total energy comes out at -133.11 eV for the cell shown. As for the density: 6459 kg/m3.

=====

[11]
Density functional theory data (GGA+U) for a relaxed structure of Ca2TaNiO6.

```
20
Lattice="5.464 0.000 0.000 0.000 7.736 0.000 -0.045 0.000 5.623" Properties=species:S:1:pos:R:3 pbc="T T T"
Ca 0.048 1.934 2.447
Ca 2.590 1.934 5.390
Ca 2.829 5.802 0.233
Ca 5.371 5.802 3.176
Ta 2.709 0.000 2.811
Ta 2.709 3.868 2.811
Ni 0.000 0.000 0.000
Ni 0.000 3.868 0.000
O 0.481 5.802 5.450
O 1.124 0.351 3.950
O 1.124 3.517 3.950
O 1.620 0.377 1.198
O 1.620 3.491 1.198
O 2.204 5.802 2.648
O 3.214 1.934 2.975
O 3.799 4.245 4.424
O 3.799 7.359 4.424
O 4.295 4.219 1.673
O 4.295 7.385 1.673
O 4.938 1.934 0.173
```

Properties
The calculation puts the density of states at the Fermi level at 3.86 states/eV/cell. The calculated total energy comes out at -145.37 eV for the cell shown. As for the density: 5810 kg/m3.

=====

[12]
Density functional theory data (GGA+U) for a relaxed structure of Ca2TcNiO6.

```
10
Lattice="5.458 0.000 0.000 0.000 5.458 0.000 0.000 0.000 4.269" Properties=species:S:1:pos:R:3 pbc="T T T"
Ca 0.000 2.729 0.000
Ca 2.729 0.000 0.000
Tc 0.000 0.000 2.342
Ni 2.729 2.729 2.597
O 0.000 0.000 0.576
O 1.294 1.294 2.834
O 1.294 4.163 2.834
O 2.729 2.729 0.560
O 4.163 1.294 2.834
O 4.163 4.163 2.834
```

Properties
The calculation puts the density of states at the Fermi level at 0.25 states/eV/cell. The calculated total energy comes out at -65.31 eV for the cell shown. As for the density: 4347 kg/m3.